Entry 1:
This record from Alexandria describes an optimized crystal structure of Al2CoSb. The functional is PBE-GGA.

The formation energy without anion corrections is 53 meV per atom.

Lattice parameters (Å, degrees): 8.1811 3.1451 5.5290 90.00 102.37 90.00
Space group C2/m (No. 12)
Symmetry-distinct sites (fractional):
Al (0.2272, 0.0000, 0.1775)
Co (0.0000, 0.5000, 0.0000)
Sb (0.0000, 0.0000, 0.5000)

Entry 2:
This record from Alexandria describes an optimized crystal structure of MgScCr2Ga. The functional is PBE-GGA.

As for the formation energy: 339 kJ/mol of formula units.

Lattice parameters (Å, degrees): 4.7535 4.7535 5.0618 90.00 90.00 90.00
Space group P4/mmm (No. 123)
Symmetry-distinct sites (fractional):
Mg (0.0000, 0.0000, 0.0000)
Sc (0.5000, 0.5000, 0.0000)
Cr (0.0000, 0.5000, 0.5000)
Ga (0.5000, 0.5000, 0.5000)

Entry 3:
This record from Alexandria describes an optimized crystal structure of ReTe2MoN. The functional is PBE-GGA.

The formation energy without anion corrections is 1100 meV per atom.

Lattice parameters (Å, degrees): 5.3870 5.3870 3.7417 90.00 90.00 90.00
Space group P4/mmm (No. 123)
Symmetry-distinct sites (fractional):
Re (0.0000, 0.0000, 0.0000)
Te (0.0000, 0.5000, 0.5000)
Mo (0.5000, 0.5000, 0.5000)
N (0.5000, 0.5000, 0.0000)

Entry 4:
This record from Alexandria describes an optimized crystal structure of Rb2NaBi2. The functional is PBE-GGA.

As for the formation energy: -108 kJ/mol of formula units.

Lattice parameters (Å, degrees): 4.9689 5.5109 15.7648 90.00 90.00 90.00
Space group Amm2 (No. 38)
Symmetry-distinct sites (fractional):
Rb (0.0000, 0.0000, 0.0000)
Rb (0.0000, 0.0000, 0.2266)
Na (0.5000, 0.0000, 0.4134)
Bi (0.5000, 0.0000, 0.6205)
Bi (0.5000, 0.0000, 0.8094)

Number 1: energy -37.00 eV for the cell shown. Number 2: energy -26.69 eV for the cell shown. Number 3: energy -32.39 eV for the cell shown. Number 4: energy -24.28 eV for the cell shown.